(1)
## Pb3Br2O2 (PBE)

Data for a relaxed structure of Pb3Br2O2.

Results
As for the offset from the most stable computed form: 0.00 eV/f.u. The energy relative to the elements, uncorrected is -744.4 kJ/mol of formula units. The density of states at the Fermi level is 0.000 states/eV per atom.

a b c (Å): 5.999 10.260 12.530
angles (deg): 90.00 90.00 90.00
Fractional positions:
Br 0.750 0.306 0.693
Br 0.250 0.806 0.807
Br 0.250 0.694 0.307
Br 0.750 0.194 0.193
Br 0.750 0.918 0.624
Br 0.250 0.418 0.876
Br 0.250 0.082 0.376
Br 0.750 0.582 0.124
O 0.004 0.612 0.573
O 0.996 0.112 0.927
O 0.504 0.388 0.427
O 0.496 0.888 0.073
O 0.996 0.388 0.427
O 0.004 0.888 0.073
O 0.496 0.612 0.573
O 0.504 0.112 0.927
Pb 0.750 0.571 0.420
Pb 0.250 0.071 0.080
Pb 0.250 0.429 0.580
Pb 0.750 0.929 0.920
Pb 0.750 0.642 0.705
Pb 0.250 0.142 0.795
Pb 0.250 0.358 0.295
Pb 0.750 0.858 0.205
Pb 0.750 0.216 0.448
Pb 0.250 0.716 0.052
Pb 0.250 0.784 0.552
Pb 0.750 0.284 0.948

***

(2)
## PbBrO2 (PBE)

Data for a relaxed structure of PbBrO2.

Results
As for the offset from the most stable computed form: 3.61 eV/f.u. The energy relative to the elements, uncorrected is 159.4 kJ/mol of formula units. The density of states at the Fermi level is 0.400 states/eV per atom.

a b c (Å): 7.028 7.028 7.028
angles (deg): 29.18 29.18 29.18
Fractional positions:
Pb 0.000 0.000 0.000
O 0.875 0.875 0.875
O 0.125 0.125 0.125
Br 0.500 0.500 0.500

***

(3)
## PbBr2O7 (PBE)

Data for a relaxed structure of PbBr2O7.

Results
The energy relative to the elements, uncorrected is 110.5 kJ/mol of formula units.

a b c (Å): 7.345 7.345 8.642
angles (deg): 57.74 57.74 65.22
Site moments in Bohr magnetons follow the coordinates.
Fractional positions:
Pb 0.638 0.362 0.750  -0.01
Pb 0.362 0.638 0.250  -0.01
Br 0.204 0.186 0.808  0.01
Br 0.186 0.204 0.308  0.01
Br 0.796 0.814 0.192  0.01
Br 0.814 0.796 0.692  0.01
O 0.285 0.109 0.987  0.01
O 0.109 0.285 0.487  0.01
O 0.715 0.891 0.013  0.01
O 0.891 0.715 0.513  0.01
O 0.929 0.267 0.906  0.05
O 0.267 0.929 0.406  0.05
O 0.071 0.733 0.094  0.05
O 0.733 0.071 0.594  0.05
O 0.304 0.422 0.638  0.07
O 0.422 0.304 0.138  0.07
O 0.696 0.578 0.362  0.07
O 0.578 0.696 0.862  0.07
O 0.312 0.688 0.750  1.38
O 0.688 0.312 0.250  1.38

***

(4)
## PbBrO2 (PBE)

Data for a relaxed structure of PbBrO2.

Results
As for the offset from the most stable computed form: 0.00 eV/f.u. The energy relative to the elements, uncorrected is -188.8 kJ/mol of formula units. The density of states at the Fermi level is 0.510 states/eV per atom.

a b c (Å): 6.633 6.633 6.633
angles (deg): 32.72 32.72 32.72
Fractional positions:
Pb 0.500 0.500 0.500
O 0.890 0.890 0.890
O 0.110 0.110 0.110
Br 0.000 0.000 0.000